# 1
{
  "formula": "TlCdIr2",
  "functional": "SCAN",
  "state": "PBEsol geometry",
  "dos_ef_per_ev_cell": 2.7,
  "e_form_mev_per_atom": 525,
  "sg": "Pmmm",
  "final_energy_ry_per_atom": -4.4627,
  "total_magnetization_mub_per_cell": 0.00,
  "cell": [[2.9955, 0.0000, 0.0000], [0.0000, 3.7831, 0.0000], [0.0000, 0.0000, 5.9470]],
  "species": ["Tl", "Cd", "Ir", "Ir"],
  "fractional_positions": [[0.0000, 0.0000, 0.0000], [0.0000, 0.0000, 0.5000], [0.5000, 0.5000, 0.2531], [0.5000, 0.5000, 0.7469]]
}



# 2
{
  "formula": "Tl2CdIr",
  "functional": "SCAN",
  "state": "PBEsol geometry",
  "dos_ef_per_ev_cell": 2.0,
  "e_form_mev_per_atom": 450,
  "e_above_lowest_polymorph_mev_per_atom": 158.2,
  "sg": "P4/mmm",
  "final_energy_ry_per_atom": -4.4914,
  "total_magnetization_mub_per_cell": 0.00,
  "cell": [[3.1292, 0.0000, 0.0000], [0.0000, 3.1292, 0.0000], [0.0000, 0.0000, 8.6932]],
  "species": ["Tl", "Tl", "Cd", "Ir"],
  "fractional_positions": [[0.0000, 0.0000, 0.2117], [0.0000, 0.0000, 0.7883], [0.5000, 0.5000, 0.5000], [0.5000, 0.5000, 0.0000]]
}



# 3
{
  "formula": "TlCd3Ir",
  "functional": "SCAN",
  "state": "PBEsol geometry",
  "dos_ef_per_ev_cell": 4.3,
  "e_form_mev_per_atom": 1387,
  "sg": "Pm-3m",
  "final_energy_ry_per_atom": -3.3481,
  "total_magnetization_mub_per_cell": 2.02,
  "cell": [[5.1950, 0.0000, 0.0000], [0.0000, 5.1950, 0.0000], [0.0000, 0.0000, 5.1950]],
  "species": ["Tl", "Cd", "Cd", "Cd", "Ir"],
  "fractional_positions": [[0.0000, 0.0000, 0.0000], [0.0000, 0.0000, 0.5000], [0.0000, 0.5000, 0.0000], [0.5000, 0.0000, 0.0000], [0.5000, 0.5000, 0.5000]]
}



| no. | density (kg/m³) |
| --- | --- |
| 1 | 17278 |
| 2 | 13916 |
| 3 | 8692 |